Crystalline Ba2FeTcO6 at its relaxed geometry. Source: Alexandria via LeMat-Bulk, functional PBE+U.

Computed properties:
As for the crystal system: cubic. The value obtained for the total magnetization is 3.0 μB/f.u. The total energy is -7.03 eV/atom. As for the density: 6.49 g/cm³.

a b c (Å): 5.7481 5.7481 5.7481
angles (deg): 60.00 60.00 60.00
Atoms (fractional coordinates):
1 Ba 0.2500 0.2500 0.2500
2 Ba 0.7500 0.7500 0.7500
3 Fe 0.0000 0.0000 0.0000
4 Tc 0.5000 0.5000 0.5000
5 O 0.2551 0.2551 0.7449
6 O 0.2551 0.7449 0.2551
7 O 0.2551 0.7449 0.7449
8 O 0.7449 0.2551 0.2551
9 O 0.7449 0.2551 0.7449
10 O 0.7449 0.7449 0.2551